# 1
{
  "formula": "HfRuSeN2",
  "functional": "PBE-GGA",
  "state": "optimized geometry",
  "lattice": [[4.043, 0.000, 0.000], [0.000, 4.043, 0.000], [0.000, 0.000, 5.510]],
  "species": ["Hf", "Ru", "Se", "N", "N"],
  "frac_coords": [[0.000, 0.000, 0.000], [0.500, 0.500, 0.500], [0.000, 0.000, 0.500], [0.000, 0.500, 0.000], [0.500, 0.000, 0.000]],
  "polymorph_energy_ev_per_fu": 1.09,
  "raw_formation_energy_ev_per_atom": 0.78,
  "energy_ev_per_atom": -7.093
}

***

# 2
{
  "formula": "HfSiRuN2",
  "functional": "PBE-GGA",
  "state": "optimized geometry",
  "lattice": [[3.814, 0.000, 0.000], [0.000, 3.814, 0.000], [0.000, 0.000, 5.081]],
  "species": ["Hf", "Si", "Ru", "N", "N"],
  "frac_coords": [[0.000, 0.000, 0.000], [0.500, 0.500, 0.000], [0.500, 0.500, 0.500], [0.000, 0.500, 0.500], [0.500, 0.000, 0.500]],
  "raw_formation_energy_ev_per_atom": 0.66,
  "energy_ev_per_atom": -7.603
}

***

# 3
{
  "formula": "Hf2TeRuN",
  "functional": "PBE-GGA",
  "state": "optimized geometry",
  "lattice": [[5.165, 0.000, 0.000], [0.000, 5.165, 0.000], [0.000, 0.000, 3.744]],
  "species": ["Hf", "Hf", "Te", "Ru", "N"],
  "frac_coords": [[0.000, 0.500, 0.000], [0.500, 0.000, 0.000], [0.000, 0.000, 0.500], [0.500, 0.500, 0.000], [0.500, 0.500, 0.500]],
  "raw_formation_energy_ev_per_atom": 0.07,
  "energy_ev_per_atom": -8.062
}

***

# 4
{
  "formula": "Hf2TiRuN",
  "functional": "PBE-GGA",
  "state": "optimized geometry",
  "lattice": [[4.470, 0.000, 0.000], [0.000, 4.470, 0.000], [0.000, 0.000, 3.923]],
  "species": ["Hf", "Hf", "Ti", "Ru", "N"],
  "frac_coords": [[0.000, 0.500, 0.000], [0.500, 0.000, 0.000], [0.000, 0.000, 0.500], [0.500, 0.500, 0.500], [0.000, 0.000, 0.000]],
  "raw_formation_energy_ev_per_atom": -0.88,
  "energy_ev_per_atom": -9.962
}

***

# 5
{
  "formula": "HfTi2RuN",
  "functional": "PBE-GGA",
  "state": "optimized geometry",
  "lattice": [[4.066, 0.000, 0.000], [0.000, 4.066, 0.000], [0.000, 0.000, 4.444]],
  "species": ["Hf", "Ti", "Ti", "Ru", "N"],
  "frac_coords": [[0.000, 0.000, 0.000], [0.000, 0.500, 0.500], [0.500, 0.000, 0.500], [0.500, 0.500, 0.000], [0.000, 0.000, 0.500]],
  "raw_formation_energy_ev_per_atom": -0.87,
  "energy_ev_per_atom": -9.542
}

***

# 6
{
  "formula": "Hf2VRuN",
  "functional": "PBE-GGA",
  "state": "optimized geometry",
  "lattice": [[4.489, 0.000, 0.000], [0.000, 4.489, 0.000], [0.000, 0.000, 3.767]],
  "species": ["Hf", "Hf", "V", "Ru", "N"],
  "frac_coords": [[0.000, 0.500, 0.000], [0.500, 0.000, 0.000], [0.000, 0.000, 0.500], [0.500, 0.500, 0.500], [0.000, 0.000, 0.000]],
  "raw_formation_energy_ev_per_atom": -0.82,
  "energy_ev_per_atom": -10.147
}

***

# 7
{
  "formula": "HfS2N2",
  "functional": "PBE-GGA",
  "state": "optimized geometry",
  "lattice": [[4.029, 0.000, 0.000], [0.000, 4.029, 0.000], [0.000, 0.000, 5.431]],
  "species": ["Hf", "S", "S", "N", "N"],
  "frac_coords": [[0.000, 0.000, 0.000], [0.000, 0.000, 0.500], [0.500, 0.500, 0.500], [0.000, 0.500, 0.000], [0.500, 0.000, 0.000]],
  "polymorph_energy_ev_per_fu": 4.76,
  "raw_formation_energy_ev_per_atom": 0.73,
  "energy_ev_per_atom": -6.242
}

***

# 8
{
  "formula": "Hf3SN",
  "functional": "PBE-GGA",
  "state": "optimized geometry",
  "lattice": [[4.396, 0.000, 0.000], [0.000, 4.396, 0.000], [0.000, 0.000, 4.396]],
  "species": ["Hf", "Hf", "Hf", "S", "N"],
  "frac_coords": [[0.000, 0.000, 0.500], [0.000, 0.500, 0.000], [0.500, 0.000, 0.000], [0.500, 0.500, 0.500], [0.000, 0.000, 0.000]],
  "polymorph_energy_ev_per_fu": 0.00,
  "raw_formation_energy_ev_per_atom": -0.45,
  "energy_ev_per_atom": -8.909
}